The following is a DFT calculation (GGA+U) of crystalline Pb6WO8 at its relaxed geometry.

Computed properties:
Its density of states at the Fermi level is 0.32 states/eV/atom. For the volume, the calculation gives 287 Å³/f.u. As for the spin magnetization: 0.000 μB per atom. For the total energy, the calculation gives -5.749 eV per atom.

CIF file:
```
data_Pb6WO8
_chemical_formula_sum 'Pb24 W4 O32'
_cell_length_a 10.4713
_cell_length_b 10.4713
_cell_length_c 10.4713
_cell_angle_alpha 90.00
_cell_angle_beta 90.00
_cell_angle_gamma 90.00
_symmetry_space_group_name_H-M 'F m -3 m'
_symmetry_Int_Tables_number 225
_symmetry_space_group_name_Hall '-F 4 2 3'
loop_
_atom_site_label
_atom_site_fract_x
_atom_site_fract_y
_atom_site_fract_z
Pb1 0.0000 0.2500 0.2500
W1 0.0000 0.0000 0.0000
O1 0.0000 0.0000 0.1885
O2 0.2500 0.2500 0.2500
```